! PBE Ca2PrTmS4, optimized geometry; values from VASP
&SYSTEM
  ibrav = 0, nat = 8, ntyp = 4
/
ATOMIC_SPECIES
Ca 40.08 Ca.upf
Tm 168.93 Tm.upf
S 32.06 S.upf
Pr 140.91 Pr.upf
CELL_PARAMETERS angstrom
-3.6467 -1.1908 -1.0308
-0.0013 -4.5199 5.2262
-2.6185 6.0805 2.2391
ATOMIC_POSITIONS crystal
Ca 0.5000 0.0000 0.5000
Ca 0.0000 0.5000 0.5000
Tm 0.0000 0.0000 0.0000
S 0.5000 0.2371 0.2446
S 0.5000 0.7629 0.7554
S 0.0000 0.7631 0.2532
S 0.0000 0.2369 0.7468
Pr 0.5000 0.5000 0.0000
! Formation energy without anion corrections: -2029 meV/atom
! E: -46.00 eV per cell
! Space-group type: P2/m, No. 10
! Total magnetic moment: 0.00 μB/f.u.


! PBE Ca3Pr3TmS8, optimized geometry; values from VASP
&SYSTEM
  ibrav = 0, nat = 15, ntyp = 4
/
ATOMIC_SPECIES
S 32.06 S.upf
Ca 40.08 Ca.upf
Tm 168.93 Tm.upf
Pr 140.91 Pr.upf
CELL_PARAMETERS angstrom
8.1046 0.0000 0.0000
-4.0523 7.0183 -0.0246
0.0000 -4.6563 6.6510
ATOMIC_POSITIONS crystal
S 0.2353 0.9973 0.2593
S 0.7647 0.0027 0.7407
S 0.2380 0.0027 0.7407
S 0.7528 0.5055 0.7582
S 0.2380 0.4761 0.7407
S 0.2472 0.4945 0.2418
S 0.7620 0.9973 0.2593
S 0.7620 0.5239 0.2593
Ca 0.0000 0.5000 0.0000
Ca 0.0000 0.0000 0.0000
Ca 0.5000 0.5000 0.0000
Tm 0.0000 0.0000 0.5000
Pr 0.0000 0.5000 0.5000
Pr 0.5000 0.0000 0.5000
Pr 0.5000 0.5000 0.5000
! Formation energy without anion corrections: -2073 meV/atom
! E: -88.93 eV per cell
! Space-group type: R-3m, No. 166
! Total magnetic moment: 0.00 μB/f.u.


! PBE CaPrTm4S8, optimized geometry; values from VASP
&SYSTEM
  ibrav = 0, nat = 14, ntyp = 4
/
ATOMIC_SPECIES
S 32.06 S.upf
Tm 168.93 Tm.upf
Pr 140.91 Pr.upf
Ca 40.08 Ca.upf
CELL_PARAMETERS angstrom
8.0186 0.0000 0.0000
4.0093 6.9443 0.0000
4.0093 2.3148 6.6760
ATOMIC_POSITIONS crystal
S 0.2480 0.2480 0.7244
S 0.7487 0.2318 0.2708
S 0.7796 0.2480 0.7244
S 0.7487 0.7487 0.2708
S 0.7581 0.7581 0.7256
S 0.2384 0.2384 0.2849
S 0.2318 0.7487 0.2708
S 0.2480 0.7796 0.7244
Tm 0.4942 0.0018 0.5021
Tm 0.0018 0.0018 0.5021
Tm 0.6257 0.6257 0.1230
Tm 0.0018 0.4942 0.5021
Pr 0.0016 0.0016 0.9951
Ca 0.3735 0.3735 0.8795
! Formation energy without anion corrections: -1978 meV/atom
! E: -85.37 eV per cell
! Space-group type: R3m, No. 160
! Total magnetic moment: 0.00 μB/f.u.


! PBE CaPr2TmS4, optimized geometry; values from VASP
&SYSTEM
  ibrav = 0, nat = 8, ntyp = 4
/
ATOMIC_SPECIES
S 32.06 S.upf
Tm 168.93 Tm.upf
Ca 40.08 Ca.upf
Pr 140.91 Pr.upf
CELL_PARAMETERS angstrom
3.9744 0.0000 0.0000
0.0000 6.9008 0.1269
0.0000 -2.4015 6.6417
ATOMIC_POSITIONS crystal
S 0.5000 0.2383 0.2287
S 0.5000 0.7617 0.7713
S 0.0000 0.2496 0.7669
S 0.0000 0.7504 0.2331
Tm 0.0000 0.0000 0.0000
Ca 0.5000 0.5000 0.0000
Pr 0.0000 0.5000 0.5000
Pr 0.5000 0.0000 0.5000
! Formation energy without anion corrections: -2017 meV/atom
! E: -48.68 eV per cell
! Space-group type: P2/m, No. 10
! Total magnetic moment: 0.00 μB/f.u.


! PBE Ca2PrUS6, optimized geometry; values from VASP
&SYSTEM
  ibrav = 0, nat = 10, ntyp = 4
/
ATOMIC_SPECIES
Ca 40.08 Ca.upf
S 32.06 S.upf
Pr 140.91 Pr.upf
U 238.03 U.upf
CELL_PARAMETERS angstrom
7.0525 0.0002 0.0004
3.5264 6.1076 0.0001
3.5262 2.0361 6.2317
ATOMIC_POSITIONS crystal
Ca 0.5248 0.5248 0.4256
Ca 0.0170 0.0170 0.9490
S 0.1220 0.4170 0.7635
S 0.4170 0.6975 0.7634
S 0.9526 0.5875 0.2527
S 0.5875 0.2073 0.2527
S 0.2073 0.9525 0.2526
S 0.6975 0.1220 0.7634
Pr 0.8137 0.8137 0.5590
U 0.3223 0.3222 0.0333
! Formation energy without anion corrections: -1767 meV/atom
! E: -62.51 eV per cell
! Space-group type: R3, No. 146
! Total magnetic moment: 1.00 μB/f.u.


! PBE CaPrY4S8, optimized geometry; values from VASP
&SYSTEM
  ibrav = 0, nat = 14, ntyp = 4
/
ATOMIC_SPECIES
Pr 140.91 Pr.upf
Ca 40.08 Ca.upf
Y 88.91 Y.upf
S 32.06 S.upf
CELL_PARAMETERS angstrom
8.1251 0.0000 0.0000
4.0625 7.0365 0.0000
4.0625 2.3455 6.7250
ATOMIC_POSITIONS crystal
Pr 0.0016 0.0016 0.9951
Ca 0.3742 0.3742 0.8775
Y 0.0018 0.4944 0.5020
Y 0.4944 0.0018 0.5020
Y 0.6256 0.6256 0.1233
Y 0.0018 0.0018 0.5020
S 0.2461 0.7782 0.7295
S 0.7782 0.2461 0.7295
S 0.2461 0.2461 0.7295
S 0.2298 0.7513 0.2675
S 0.7513 0.7513 0.2675
S 0.2394 0.2394 0.2818
S 0.7513 0.2298 0.2675
S 0.7583 0.7583 0.7252
! Formation energy without anion corrections: -1993 meV/atom
! E: -93.56 eV per cell
! Space-group type: R3m, No. 160
! Total magnetic moment: 0.00 μB/f.u.


! PBE Ca3Pr3YS8, optimized geometry; values from VASP
&SYSTEM
  ibrav = 0, nat = 15, ntyp = 4
/
ATOMIC_SPECIES
S 32.06 S.upf
Ca 40.08 Ca.upf
Y 88.91 Y.upf
Pr 140.91 Pr.upf
CELL_PARAMETERS angstrom
-2.4595 -5.7727 -5.1530
1.9533 -1.9401 7.6380
-6.7727 4.2324 -1.5088
ATOMIC_POSITIONS crystal
S 0.7593 0.5186 0.2568
S 0.2474 0.4948 0.2422
S 0.7526 0.5052 0.7578
S 0.7593 0.9975 0.2568
S 0.2407 0.4814 0.7432
S 0.2382 0.9975 0.2568
S 0.7618 0.0025 0.7432
S 0.2407 0.0025 0.7432
Ca 0.0000 0.0000 0.0000
Ca 0.5000 0.5000 0.0000
Ca 0.0000 0.5000 0.0000
Y 0.0000 0.0000 0.5000
Pr 0.5000 0.5000 0.5000
Pr 0.5000 0.0000 0.5000
Pr 0.0000 0.5000 0.5000
! Formation energy without anion corrections: -2072 meV/atom
! E: -90.91 eV per cell
! Space-group type: R-3m, No. 166
! Total magnetic moment: 0.00 μB/f.u.


! PBE CaPr4Y3S8, optimized geometry; values from VASP
&SYSTEM
  ibrav = 0, nat = 16, ntyp = 4
/
ATOMIC_SPECIES
Y 88.91 Y.upf
S 32.06 S.upf
Pr 140.91 Pr.upf
Ca 40.08 Ca.upf
CELL_PARAMETERS angstrom
7.9912 0.0000 0.0000
0.0000 8.1078 0.0761
-3.9956 -3.9912 5.6529
ATOMIC_POSITIONS crystal
Y 0.0000 0.5000 0.5000
Y 0.5000 0.5000 0.0000
Y 0.5000 0.5000 0.5000
S 0.2560 0.2680 0.5120
S 0.7550 0.2670 0.5100
S 0.2450 0.7330 0.4900
S 0.7429 0.7330 0.9880
S 0.2571 0.2670 0.0120
S 0.7440 0.7320 0.4880
S 0.7550 0.2670 0.0120
S 0.2450 0.7330 0.9880
Pr 0.0000 0.0000 0.5000
Pr 0.5000 0.0000 0.5000
Pr 0.5000 0.0000 0.0000
Pr 0.0000 0.0000 0.0000
Ca 0.0000 0.5000 0.0000
! Formation energy without anion corrections: -2021 meV/atom
! E: -105.87 eV per cell
! Space-group type: R-3m, No. 166
! Total magnetic moment: 0.00 μB/f.u.


! PBE CaPr4Sb5, optimized geometry; values from VASP
&SYSTEM
  ibrav = 0, nat = 10, ntyp = 3
/
ATOMIC_SPECIES
Sb 121.76 Sb.upf
Ca 40.08 Ca.upf
Pr 140.91 Pr.upf
CELL_PARAMETERS angstrom
0.1710 4.3903 1.1885
-4.0910 1.4501 -4.7678
-6.8505 -4.4940 8.8708
ATOMIC_POSITIONS crystal
Sb 0.3986 0.8986 0.7971
Sb 0.0000 0.5000 0.0000
Sb 0.6014 0.1014 0.2029
Sb 0.1995 0.6995 0.3990
Sb 0.8005 0.3005 0.6010
Ca 0.0000 0.0000 0.0000
Pr 0.8009 0.8009 0.6018
Pr 0.5989 0.5989 0.1978
Pr 0.1991 0.1991 0.3982
Pr 0.4011 0.4011 0.8022
! Formation energy without anion corrections: -1096 meV/atom
! E: -52.69 eV per cell
! Space-group type: Immm, No. 71
! Total magnetic moment: 0.00 μB/f.u.


! PBE CaPr2Sb, optimized geometry; values from VASP
&SYSTEM
  ibrav = 0, nat = 4, ntyp = 3
/
ATOMIC_SPECIES
Sb 121.76 Sb.upf
Ca 40.08 Ca.upf
Pr 140.91 Pr.upf
CELL_PARAMETERS angstrom
-4.2747 -0.6816 -0.0796
0.4033 -2.9013 3.1880
-0.8884 5.0244 4.6850
ATOMIC_POSITIONS crystal
Sb 0.5000 0.5000 0.0000
Ca 0.5000 0.5000 0.5000
Pr 0.0000 0.0000 0.7691
Pr 0.0000 0.0000 0.2309
! Energy above the most stable polymorph in this dataset: 0 meV per atom
! Formation energy without anion corrections: -513 meV/atom
! E: -17.73 eV per cell
! Space-group type: P4/mmm, No. 123
! Total magnetic moment: 0.00 μB/f.u.


! PBE CaPr2Sb, optimized geometry; values from VASP
&SYSTEM
  ibrav = 0, nat = 4, ntyp = 3
/
ATOMIC_SPECIES
Pr 140.91 Pr.upf
Ca 40.08 Ca.upf
Sb 121.76 Sb.upf
CELL_PARAMETERS angstrom
-4.3800 -1.1176 -2.2074
2.3849 -2.8233 -3.3026
-0.5052 -3.9220 2.9881
ATOMIC_POSITIONS crystal
Pr 0.0000 0.5000 0.0000
Pr 0.0000 0.0000 0.5000
Ca 0.5000 0.5000 0.5000
Sb 0.5000 0.0000 0.0000
! Energy above the most stable polymorph in this dataset: 19 meV per atom
! Formation energy without anion corrections: -494 meV/atom
! E: -17.66 eV per cell
! Space-group type: P4/mmm, No. 123
! Total magnetic moment: 0.00 μB/f.u.


! PBE CaPr2Sb, optimized geometry; values from VASP
&SYSTEM
  ibrav = 0, nat = 4, ntyp = 3
/
ATOMIC_SPECIES
Pr 140.91 Pr.upf
Ca 40.08 Ca.upf
Sb 121.76 Sb.upf
CELL_PARAMETERS angstrom
4.2682 0.0000 0.0000
2.1341 3.6964 0.0000
2.1341 1.2321 10.0032
ATOMIC_POSITIONS crystal
Pr 0.2696 0.2696 0.1913
Pr 0.0637 0.0637 0.8090
Ca 0.5003 0.5003 0.4991
Sb 0.6665 0.6665 0.0006
! Energy above the most stable polymorph in this dataset: 112 meV per atom
! Formation energy without anion corrections: -401 meV/atom
! E: -17.29 eV per cell
! Space-group type: R3m, No. 160
! Total magnetic moment: 1.16 μB/f.u.